Record 1
SrHfZr2 GGA-PBE optimized geometry; crystal system = tetragonal; energy of formation from the pure elements = 0.9058 eV/atom; energy above the most stable polymorph in this dataset = 280 meV/atom
1.0
4.5250 0.0000 0.0000
0.0000 4.5250 0.0000
2.2625 2.2625 10.7483
Hf Zr Sr
2 4 2
direct
0.7500 0.2500 0.5000
0.0000 0.0000 0.0000
0.8750 0.8992 0.7500
0.3750 0.3508 0.7500
0.6492 0.1250 0.2500
0.1008 0.6250 0.2500
0.2500 0.7500 0.5000
0.5000 0.5000 0.0000

Record 2
SrHfZr2 GGA-PBE optimized geometry; crystal system = cubic; energy of formation from the pure elements = 0.6263 eV/atom; energy above the most stable polymorph in this dataset = 0 meV/atom
1.0
0.0000 3.7342 3.7342
3.7342 0.0000 3.7342
3.7342 3.7342 0.0000
Sr Zr Hf
1 2 1
direct
0.0000 0.0000 0.0000
0.7500 0.7500 0.7500
0.2500 0.2500 0.2500
0.5000 0.5000 0.5000

Record 3
Sr2HfZr4 GGA-PBE optimized geometry; crystal system = tetragonal; energy of formation from the pure elements = 0.9781 eV/atom
1.0
5.2826 0.0000 0.0000
0.0000 5.2826 0.0000
2.6413 2.6413 8.4966
Zr Sr Hf
4 2 1
direct
0.1542 0.1542 0.6915
0.8458 0.8458 0.3085
0.0000 0.5000 0.0000
0.5000 0.0000 0.0000
0.3575 0.3575 0.2850
0.6425 0.6425 0.7150
0.0000 0.0000 0.0000

Record 4
Sr2HfZr GGA-PBE optimized geometry; crystal system = cubic; energy of formation from the pure elements = 0.9514 eV/atom; energy above the most stable polymorph in this dataset = 0 meV/atom
1.0
0.0000 4.0111 4.0111
4.0111 0.0000 4.0111
4.0111 4.0111 0.0000
Sr Hf Zr
2 1 1
direct
0.7500 0.7500 0.7500
0.2500 0.2500 0.2500
0.5000 0.5000 0.5000
0.0000 0.0000 0.0000

Record 5
HfTa3 GGA-PBE optimized geometry; crystal system = cubic; energy of formation from the pure elements = 0.1033 eV/atom; energy above the most stable polymorph in this dataset = 0 meV/atom
1.0
4.7597 0.0000 0.0000
2.3798 4.1220 0.0000
2.3798 1.3740 3.8862
Ta Hf
3 1
direct
0.2500 0.2500 0.2500
0.7500 0.7500 0.7500
0.0000 0.0000 0.0000
0.5000 0.5000 0.5000

Record 6
HfTa3 GGA-PBE optimized geometry; crystal system = orthorhombic; energy of formation from the pure elements = 0.1074 eV/atom; energy above the most stable polymorph in this dataset = 4 meV/atom
1.0
-2.7561 1.5132 1.1620
-2.5167 -3.9690 -0.8006
1.0145 -1.5307 4.3994
Ta Hf
3 1
direct
0.5000 0.0000 0.4179
0.5000 0.5000 0.9156
0.0000 0.0000 0.9171
0.0000 0.5000 0.4160

Record 7
HfTa2 GGA-PBE optimized geometry; crystal system = cubic; energy of formation from the pure elements = 0.0753 eV/atom
1.0
-5.1176 1.3501 1.6320
-2.7347 -3.2746 3.5319
-0.8960 1.6756 5.2024
Ta Hf
4 2
direct
0.6250 0.6250 0.6250
0.6250 0.1250 0.6250
0.1250 0.6250 0.6250
0.6250 0.6250 0.1250
0.2500 0.2500 0.2500
0.0000 0.0000 0.0000

Record 8
HfTa2 GGA-PBE optimized geometry; crystal system = tetragonal; energy of formation from the pure elements = 0.0774 eV/atom
1.0
3.3830 0.0000 0.0000
0.0000 3.3830 0.0000
-1.6915 -1.6915 5.1340
Ta Hf
2 1
direct
0.3196 0.3196 0.6392
0.6804 0.6804 0.3608
0.0000 0.0000 0.0000